# 1
# GdTmNiAg | Alexandria | PBE-GGA | relaxed
# - ΔH_f (0 K) (eV/atom) = -0.307
data_GdTmNiAg
_cell_length_a 4.9663
_cell_length_b 4.9663
_cell_length_c 4.9663
_cell_angle_alpha 60.00
_cell_angle_beta 60.00
_cell_angle_gamma 60.00
_space_group_name_H-M_alt 'P 1'
_space_group_IT_number 1
loop_
_space_group_symop_operation_xyz
'x,y,z'
loop_
_atom_site_label
_atom_site_fract_x
_atom_site_fract_y
_atom_site_fract_z
Gd1 0.0000 0.0000 0.0000
Ni1 0.7500 0.7500 0.7500
Tm1 0.5000 0.5000 0.5000
Ag1 0.2500 0.2500 0.2500

---

# 2
# GdZnNiAg | Alexandria | PBE-GGA | relaxed
# - ΔH_f (0 K) (eV/atom) = -0.160
data_GdZnNiAg
_cell_length_a 4.7107
_cell_length_b 4.7107
_cell_length_c 4.7107
_cell_angle_alpha 60.00
_cell_angle_beta 60.00
_cell_angle_gamma 60.00
_space_group_name_H-M_alt 'P 1'
_space_group_IT_number 1
loop_
_space_group_symop_operation_xyz
'x,y,z'
loop_
_atom_site_label
_atom_site_fract_x
_atom_site_fract_y
_atom_site_fract_z
Ni1 0.2500 0.2500 0.2500
Zn1 0.0000 0.0000 0.0000
Gd1 0.5000 0.5000 0.5000
Ag1 0.7500 0.7500 0.7500

---

# 3
# Gd2AgO | Alexandria | PBE-GGA | relaxed
# - formation energy without anion corrections (eV per atom) = -1.06
data_Gd2AgO
_cell_length_a 3.4423
_cell_length_b 3.4423
_cell_length_c 8.9880
_cell_angle_alpha 78.96
_cell_angle_beta 78.96
_cell_angle_gamma 60.00
_space_group_name_H-M_alt 'P 1'
_space_group_IT_number 1
loop_
_space_group_symop_operation_xyz
'x,y,z'
loop_
_atom_site_label
_atom_site_fract_x
_atom_site_fract_y
_atom_site_fract_z
Gd1 0.1139 0.1139 0.6584
Gd2 0.8861 0.8861 0.3416
O1 0.5000 0.5000 0.5000
Ag1 0.0000 0.0000 0.0000

---

# 4
# GdPaAgOs | Alexandria | PBE-GGA | relaxed
# - ΔH_f (0 K) (eV/atom) = -0.042
data_GdPaAgOs
_cell_length_a 4.9898
_cell_length_b 4.9898
_cell_length_c 4.9898
_cell_angle_alpha 60.00
_cell_angle_beta 60.00
_cell_angle_gamma 60.00
_space_group_name_H-M_alt 'P 1'
_space_group_IT_number 1
loop_
_space_group_symop_operation_xyz
'x,y,z'
loop_
_atom_site_label
_atom_site_fract_x
_atom_site_fract_y
_atom_site_fract_z
Gd1 0.5000 0.5000 0.5000
Pa1 0.0000 0.0000 0.0000
Os1 0.7500 0.7500 0.7500
Ag1 0.2500 0.2500 0.2500

---

# 5
# PmGdAgOs | Alexandria | PBE-GGA | relaxed
# - ΔH_f (0 K) (eV/atom) = -0.172
data_PmGdAgOs
_cell_length_a 5.0360
_cell_length_b 5.0360
_cell_length_c 5.0360
_cell_angle_alpha 60.00
_cell_angle_beta 60.00
_cell_angle_gamma 60.00
_space_group_name_H-M_alt 'P 1'
_space_group_IT_number 1
loop_
_space_group_symop_operation_xyz
'x,y,z'
loop_
_atom_site_label
_atom_site_fract_x
_atom_site_fract_y
_atom_site_fract_z
Gd1 0.7500 0.7500 0.7500
Os1 0.5000 0.5000 0.5000
Ag1 0.0000 0.0000 0.0000
Pm1 0.2500 0.2500 0.2500

---

# 6
# GdScAgOs | Alexandria | PBE-GGA | relaxed
# - ΔH_f (0 K) (eV/atom) = -0.248
data_GdScAgOs
_cell_length_a 4.8419
_cell_length_b 4.8419
_cell_length_c 4.8419
_cell_angle_alpha 60.00
_cell_angle_beta 60.00
_cell_angle_gamma 60.00
_space_group_name_H-M_alt 'P 1'
_space_group_IT_number 1
loop_
_space_group_symop_operation_xyz
'x,y,z'
loop_
_atom_site_label
_atom_site_fract_x
_atom_site_fract_y
_atom_site_fract_z
Sc1 0.2500 0.2500 0.2500
Gd1 0.7500 0.7500 0.7500
Os1 0.5000 0.5000 0.5000
Ag1 0.0000 0.0000 0.0000

---

# 7
# SmGdAgOs | Alexandria | PBE-GGA | relaxed
# - ΔH_f (0 K) (eV/atom) = -0.185
data_SmGdAgOs
_cell_length_a 5.0230
_cell_length_b 5.0230
_cell_length_c 5.0230
_cell_angle_alpha 60.00
_cell_angle_beta 60.00
_cell_angle_gamma 60.00
_space_group_name_H-M_alt 'P 1'
_space_group_IT_number 1
loop_
_space_group_symop_operation_xyz
'x,y,z'
loop_
_atom_site_label
_atom_site_fract_x
_atom_site_fract_y
_atom_site_fract_z
Gd1 0.0000 0.0000 0.0000
Os1 0.2500 0.2500 0.2500
Ag1 0.7500 0.7500 0.7500
Sm1 0.5000 0.5000 0.5000

---

# 8
# GdThAgOs | Alexandria | PBE-GGA | relaxed
# - ΔH_f (0 K) (eV/atom) = -0.168
data_GdThAgOs
_cell_length_a 5.0853
_cell_length_b 5.0853
_cell_length_c 5.0853
_cell_angle_alpha 60.00
_cell_angle_beta 60.00
_cell_angle_gamma 60.00
_space_group_name_H-M_alt 'P 1'
_space_group_IT_number 1
loop_
_space_group_symop_operation_xyz
'x,y,z'
loop_
_atom_site_label
_atom_site_fract_x
_atom_site_fract_y
_atom_site_fract_z
Gd1 0.0000 0.0000 0.0000
Os1 0.7500 0.7500 0.7500
Ag1 0.2500 0.2500 0.2500
Th1 0.5000 0.5000 0.5000

---

# 9
# GdZrAgOs | Alexandria | PBE-GGA | relaxed
# - ΔH_f (0 K) (eV/atom) = -0.162
data_GdZrAgOs
_cell_length_a 4.8689
_cell_length_b 4.8689
_cell_length_c 4.8689
_cell_angle_alpha 60.00
_cell_angle_beta 60.00
_cell_angle_gamma 60.00
_space_group_name_H-M_alt 'P 1'
_space_group_IT_number 1
loop_
_space_group_symop_operation_xyz
'x,y,z'
loop_
_atom_site_label
_atom_site_fract_x
_atom_site_fract_y
_atom_site_fract_z
Gd1 0.5000 0.5000 0.5000
Os1 0.7500 0.7500 0.7500
Zr1 0.0000 0.0000 0.0000
Ag1 0.2500 0.2500 0.2500

---

# 10
# Gd2AgP | Alexandria | PBE-GGA | relaxed
# - ΔH_f (0 K) (eV/atom) = -0.840
data_Gd2AgP
_cell_length_a 3.9946
_cell_length_b 3.9946
_cell_length_c 7.7473
_cell_angle_alpha 75.06
_cell_angle_beta 75.06
_cell_angle_gamma 60.00
_space_group_name_H-M_alt 'P 1'
_space_group_IT_number 1
loop_
_space_group_symop_operation_xyz
'x,y,z'
loop_
_atom_site_label
_atom_site_fract_x
_atom_site_fract_y
_atom_site_fract_z
P1 0.0000 0.0000 0.0000
Gd1 0.2614 0.2614 0.2157
Gd2 0.7386 0.7386 0.7843
Ag1 0.5000 0.5000 0.5000

---

# 11
# Gd2AgP | Alexandria | PBE-GGA | relaxed
# - ΔH_f (0 K) (eV/atom) = -0.761
data_Gd2AgP
_cell_length_a 3.6160
_cell_length_b 3.6160
_cell_length_c 6.9421
_cell_angle_alpha 90.00
_cell_angle_beta 90.00
_cell_angle_gamma 90.00
_space_group_name_H-M_alt 'P 1'
_space_group_IT_number 1
loop_
_space_group_symop_operation_xyz
'x,y,z'
loop_
_atom_site_label
_atom_site_fract_x
_atom_site_fract_y
_atom_site_fract_z
P1 0.5000 0.5000 0.0000
Gd1 0.0000 0.0000 0.7726
Gd2 0.0000 0.0000 0.2274
Ag1 0.5000 0.5000 0.5000

---

# 12
# GdPaAg2 | Alexandria | PBE-GGA | relaxed
# - ΔH_f (0 K) (eV/atom) = 0.366
data_GdPaAg2
_cell_length_a 3.1149
_cell_length_b 3.1149
_cell_length_c 11.6105
_cell_angle_alpha 82.29
_cell_angle_beta 82.29
_cell_angle_gamma 60.00
_space_group_name_H-M_alt 'P 1'
_space_group_IT_number 1
loop_
_space_group_symop_operation_xyz
'x,y,z'
loop_
_atom_site_label
_atom_site_fract_x
_atom_site_fract_y
_atom_site_fract_z
Gd1 0.5000 0.5000 0.5000
Pa1 0.0000 0.0000 0.0000
Ag1 0.0902 0.0902 0.7295
Ag2 0.9098 0.9098 0.2705